[1]
ScTc2Pb PBEsol optimized geometry; formation energy = 7.83 kcal/mol of atoms
1.0
-2.009 2.009 4.290
2.009 -2.009 4.290
2.009 2.009 -4.290
Sc Tc Pb
1 2 1
direct
0.000 0.000 0.000
0.250 0.750 0.500
0.750 0.250 0.500
0.500 0.500 0.000



[2]
LiCaTc2 PBEsol optimized geometry; formation energy = 5.98 kcal/mol of atoms
1.0
3.086 0.000 0.000
0.000 3.086 0.000
0.000 0.000 7.534
Li Ca Tc
1 1 2
direct
0.000 0.000 0.000
0.500 0.500 0.667
0.000 0.000 0.382
0.500 0.500 0.215



[3]
CdGaCoBi2 PBEsol optimized geometry; formation energy = 25.41 kcal/mol of atoms
1.0
5.418 0.000 0.000
0.000 5.418 0.000
0.000 0.000 4.840
Cd Ga Co Bi
1 1 1 2
direct
0.000 0.000 0.000
0.000 0.000 0.500
0.500 0.500 0.000
0.000 0.500 0.500
0.500 0.000 0.500



[4]
Mo3PbSe PBEsol optimized geometry; energy = -5.8614 eV/atom
1.0
4.970 0.000 0.000
0.000 4.970 0.000
0.000 0.000 4.970
Mo Pb Se
3 1 1
direct
0.000 0.000 0.500
0.000 0.500 0.000
0.500 0.000 0.000
0.000 0.000 0.000
0.500 0.500 0.500



[5]
YFeBr2 PBEsol optimized geometry; energy = -5.0783 eV/atom
1.0
-1.991 1.991 5.210
1.991 -1.991 5.210
1.991 1.991 -5.210
Y Fe Br
1 1 2
direct
0.000 0.000 0.000
0.250 0.750 0.500
0.500 0.500 0.000
0.750 0.250 0.500



[6]
MgAlAg2 PBEsol optimized geometry; formation energy = -2.94 kcal/mol of atoms
1.0
3.448 0.000 0.000
0.000 3.448 0.000
0.000 0.000 5.749
Mg Al Ag
1 1 2
direct
0.000 0.000 0.000
0.500 0.500 0.709
0.000 0.000 0.501
0.500 0.500 0.229



[7]
AsIrPdBr2 PBEsol optimized geometry; energy = -4.2067 eV/atom
1.0
5.145 0.000 0.000
0.000 5.145 0.000
0.000 0.000 4.551
As Ir Pd Br
1 1 1 2
direct
0.000 0.000 0.000
0.000 0.000 0.500
0.500 0.500 0.000
0.000 0.500 0.500
0.500 0.000 0.500



[8]
TlHg2Au PBEsol optimized geometry; formation energy = 0.51 kcal/mol of atoms
1.0
3.972 0.000 0.000
0.000 4.170 0.000
-1.772 0.000 5.627
Tl Hg Au
1 2 1
direct
0.000 0.000 0.000
0.326 0.500 0.611
0.762 0.000 0.469
0.542 0.500 0.121